## CaTlZn2Cl (PBE-GGA)

Data for a geometry-optimized CaTlZn2Cl structure.

Formation energy without anion corrections = -0.187 eV per atom
SG = P4/mmm (123)
D(E_F) = 0.106 states/eV/atom

abc: 4.992 4.992 6.384
angles: 90.00 90.00 90.00
Positions (direct):
Ca  0.000  0.000  0.000
Tl  0.000  0.000  0.500
Zn  0.000  0.500  0.500
Zn  0.500  0.000  0.500
Cl  0.500  0.500  0.000



## CaTlZnCl2 (PBE-GGA)

Data for a geometry-optimized CaTlZnCl2 structure.

Formation energy without anion corrections = -0.948 eV per atom
SG = P4/mmm (123)
D(E_F) = 0.512 states/eV/atom

abc: 5.201 5.201 6.609
angles: 90.00 90.00 90.00
Positions (direct):
Ca  0.000  0.000  0.000
Tl  0.500  0.500  0.500
Zn  0.000  0.000  0.500
Cl  0.000  0.500  0.000
Cl  0.500  0.000  0.000



## CaTlZnCl5 (PBE-GGA)

Data for a geometry-optimized CaTlZnCl5 structure.

Formation energy without anion corrections = -1.593 eV per atom
SG = C2/c (15)
D(E_F) = 0.000 states/eV/atom

abc: 7.535 7.535 9.872
angles: 104.24 104.24 105.74
Positions (direct):
Ca  0.000  0.000  0.000
Ca  0.000  0.000  0.500
Tl  0.340  0.660  0.750
Tl  0.660  0.340  0.250
Zn  0.316  0.684  0.250
Zn  0.684  0.316  0.750
Cl  0.083  0.917  0.750
Cl  0.097  0.677  0.377
Cl  0.248  0.388  0.073
Cl  0.323  0.903  0.123
Cl  0.388  0.248  0.573
Cl  0.612  0.752  0.427
Cl  0.677  0.097  0.877
Cl  0.752  0.612  0.927
Cl  0.903  0.323  0.623
Cl  0.917  0.083  0.250



## CaTmCl5 (PBE-GGA)

Data for a geometry-optimized CaTmCl5 structure.

Formation energy without anion corrections = -2.261 eV per atom
SG = C2/c (15)
D(E_F) = 0.000 states/eV/atom

abc: 7.117 7.117 10.721
angles: 111.78 111.78 82.22
Positions (direct):
Ca  0.161  0.839  0.750
Ca  0.839  0.161  0.250
Tm  0.500  0.500  0.000
Tm  0.500  0.500  0.500
Cl  0.208  0.240  0.862
Cl  0.211  0.762  0.497
Cl  0.238  0.789  0.003
Cl  0.240  0.208  0.362
Cl  0.471  0.529  0.750
Cl  0.529  0.471  0.250
Cl  0.760  0.792  0.638
Cl  0.762  0.211  0.997
Cl  0.789  0.238  0.503
Cl  0.792  0.760  0.138



## CaUCl5 (PBE-GGA)

Data for a geometry-optimized CaUCl5 structure.

Formation energy without anion corrections = -1.903 eV per atom
SG = C2/c (15)
D(E_F) = 0.032 states/eV/atom

abc: 7.311 7.311 11.183
angles: 112.12 112.12 80.37
Positions (direct):
Ca  0.094  0.906  0.750
Ca  0.906  0.094  0.250
U  0.000  0.500  0.000
U  0.500  0.000  0.500
Cl  0.156  0.622  0.857
Cl  0.190  0.266  0.493
Cl  0.213  0.787  0.250
Cl  0.266  0.190  0.993
Cl  0.378  0.844  0.643
Cl  0.622  0.156  0.357
Cl  0.734  0.810  0.007
Cl  0.787  0.213  0.750
Cl  0.810  0.734  0.507
Cl  0.844  0.378  0.143



## CaVCl3 (PBE-GGA)

Data for a geometry-optimized CaVCl3 structure.

Formation energy without anion corrections = -1.095 eV per atom
SG = Pm-3m (221)
ΔE to the lowest computed polymorph = 0.00 eV/f.u.
D(E_F) = 0.442 states/eV/atom

abc: 4.933 4.933 4.933
angles: 90.00 90.00 90.00
Positions (direct):
Ca  0.000  0.000  0.000
V  0.500  0.500  0.500
Cl  0.000  0.500  0.500
Cl  0.500  0.000  0.500
Cl  0.500  0.500  0.000



## Ca2VCl (PBE-GGA)

Data for a geometry-optimized Ca2VCl structure.

Formation energy without anion corrections = -0.067 eV per atom
SG = I-42d (122)
ΔE to the lowest computed polymorph = 0.00 eV/f.u.
D(E_F) = 1.205 states/eV/atom

abc: 7.952 7.952 7.805
angles: 90.00 90.00 90.00
Positions (direct):
Ca  0.208  0.250  0.125
Ca  0.250  0.708  0.375
Ca  0.250  0.792  0.875
Ca  0.292  0.250  0.625
Ca  0.708  0.750  0.625
Ca  0.750  0.208  0.875
Ca  0.750  0.292  0.375
Ca  0.792  0.750  0.125
V  0.000  0.000  0.500
V  0.000  0.500  0.750
V  0.500  0.000  0.250
V  0.500  0.500  0.000
Cl  0.000  0.000  0.000
Cl  0.000  0.500  0.250
Cl  0.500  0.000  0.750
Cl  0.500  0.500  0.500



## Ca3VCl8 (PBE-GGA)

Data for a geometry-optimized Ca3VCl8 structure.

Formation energy without anion corrections = -2.056 eV per atom
SG = C2/m (12)

abc: 7.894 7.894 7.956
angles: 119.55 119.55 60.73
Positions (direct):
Ca  0.000  0.000  0.000
Ca  0.000  0.500  0.500
Ca  0.500  0.000  0.500
V  0.500  0.500  0.000
Cl  0.243  0.243  0.261
Cl  0.266  0.727  0.777
Cl  0.273  0.273  0.762
Cl  0.273  0.734  0.223
Cl  0.727  0.266  0.777
Cl  0.727  0.727  0.238
Cl  0.734  0.273  0.223
Cl  0.757  0.757  0.739



- Look up the formation energy without anion corrections of the seventh one.
  -0.067 eV per atom